Model i:
SbWN2F | PBE+U | relaxed

The space group is P4/mmm (No. 123) and the conventional cell measures 4.130, 4.130 and 4.139 Å, with angles of 90.00, 90.00 and 90.00 degrees. The distinct sites, in fractional coordinates, are Sb at (0.000, 0.000, 0.000), W at (0.500, 0.500, 0.500), N at (0.000, 0.500, 0.500) and F at (0.500, 0.500, 0.000).

The total magnetic moment comes out at 1.53 μB/f.u.

***

Model ii:
SbWN2F | PBE+U | relaxed

The space group is P4/mmm (No. 123) and the conventional cell measures 4.175, 4.175 and 4.071 Å, with angles of 90.00, 90.00 and 90.00 degrees. The distinct sites, in fractional coordinates, are Sb at (0.000, 0.000, 0.000), W at (0.500, 0.500, 0.500), N at (0.000, 0.500, 0.000) and F at (0.000, 0.000, 0.500).

The total magnetic moment comes out at 3.53 μB/f.u.

***

Which of them is most stable, and which least? Most stable: model i; least stable: model ii.